# 1
Entry from Alexandria via LeMat-Bulk: a relaxed structure of KZn3S (GGA-PBE).

It has space group Pm-3m (No. 221), with a = 5.1206 Å, b = 5.1206 Å, c = 5.1206 Å, α = 90.00°, β = 90.00° and γ = 90.00°. The asymmetric unit holds K at (0.0000, 0.0000, 0.0000), Zn at (0.0000, 0.5000, 0.5000) and S at (0.5000, 0.5000, 0.5000).

The calculation puts the energy above the lowest structure with this stoichiometry at 0.000 eV per atom. For the total magnetization, the calculation gives 0.00 μB/f.u. For the calculated volume, the calculation gives 26.85 Å³ per atom. The value obtained for the total energy is -1.515 eV per atom. The uncorrected formation energy is 0.29 eV/atom.

---

# 2
Entry from Alexandria via LeMat-Bulk: a relaxed structure of KZnS (GGA-PBE).

It has space group Immm (No. 71), with a = 4.5613 Å, b = 5.1210 Å, c = 15.0877 Å, α = 90.00°, β = 90.00° and γ = 90.00°. The asymmetric unit holds K at (0.0000, 0.0000, 0.1622), Zn at (0.0000, 0.2662, 0.5000) and S at (0.0000, 0.0000, 0.3729).

For the total magnetization, the calculation gives 0.00 μB/f.u. For the calculated volume, the calculation gives 29.37 Å³ per atom. The value obtained for the total energy is -2.935 eV per atom. The uncorrected formation energy is -0.77 eV/atom.

---

# 3
Entry from Alexandria via LeMat-Bulk: a relaxed structure of KZn3S (GGA-PBE).

It has space group Pm-3m (No. 221), with a = 6.2707 Å, b = 6.2707 Å, c = 6.2707 Å, α = 90.00°, β = 90.00° and γ = 90.00°. The asymmetric unit holds K at (0.0000, 0.0000, 0.0000), Zn at (0.0000, 0.0000, 0.5000) and S at (0.5000, 0.5000, 0.5000).

The calculation puts the energy above the lowest structure with this stoichiometry at 0.641 eV per atom. For the total magnetization, the calculation gives 1.00 μB/f.u. For the calculated volume, the calculation gives 49.31 Å³ per atom. The value obtained for the total energy is -0.874 eV per atom. The uncorrected formation energy is 0.94 eV/atom.

---

# 4
Entry from Alexandria via LeMat-Bulk: a relaxed structure of K6ZnS4 (GGA-PBE).

It has space group P6_3mc (No. 186), with a = 9.8727 Å, b = 9.8727 Å, c = 7.6943 Å, α = 90.00°, β = 90.00° and γ = 120.00°. The asymmetric unit holds K at (0.0565, 0.5283, 0.0000), K at (0.1472, 0.2944, 0.3219), Zn at (0.3333, 0.6667, 0.6162), S at (0.1976, 0.3951, 0.7130) and S at (0.3333, 0.6667, 0.2984).

For the total magnetization, the calculation gives 0.00 μB/f.u. For the calculated volume, the calculation gives 29.52 Å³ per atom. The value obtained for the total energy is -3.292 eV per atom. The uncorrected formation energy is -1.08 eV/atom.

---

# 5
Entry from Alexandria via LeMat-Bulk: a relaxed structure of K2ZnS2 (GGA-PBE).

It has space group Ibam (No. 72), with a = 6.7702 Å, b = 12.7080 Å, c = 6.2633 Å, α = 90.00°, β = 90.00° and γ = 90.00°. The asymmetric unit holds K at (0.1671, 0.1455, 0.0000), Zn at (0.0000, 0.5000, 0.2500) and S at (0.1882, 0.3979, 0.0000).

For the total magnetization, the calculation gives 0.00 μB/f.u. For the calculated volume, the calculation gives 26.94 Å³ per atom. The value obtained for the total energy is -3.413 eV per atom. The uncorrected formation energy is -1.07 eV/atom.

---

# 6
Entry from Alexandria via LeMat-Bulk: a relaxed structure of KZnS3 (GGA-PBE).

It has space group Pm-3m (No. 221), with a = 5.8965 Å, b = 5.8965 Å, c = 5.8965 Å, α = 90.00°, β = 90.00° and γ = 90.00°. The asymmetric unit holds K at (0.0000, 0.0000, 0.0000), Zn at (0.5000, 0.5000, 0.5000) and S at (0.0000, 0.0000, 0.5000).

The calculation puts the energy above the lowest structure with this stoichiometry at 1.225 eV per atom. For the total magnetization, the calculation gives 5.00 μB/f.u. For the calculated volume, the calculation gives 41.00 Å³ per atom. The value obtained for the total energy is -1.806 eV per atom. The uncorrected formation energy is 1.15 eV/atom.

---

# 7
Entry from Alexandria via LeMat-Bulk: a relaxed structure of K2ZnS (GGA-PBE).

It has space group Fm-3m (No. 225), with a = 7.7691 Å, b = 7.7691 Å, c = 7.7691 Å, α = 90.00°, β = 90.00° and γ = 90.00°. The asymmetric unit holds K at (0.2500, 0.2500, 0.2500), Zn at (0.0000, 0.0000, 0.0000) and S at (0.0000, 0.0000, 0.5000).

The calculation puts the energy above the lowest structure with this stoichiometry at 0.000 eV per atom. For the total magnetization, the calculation gives 0.00 μB/f.u. For the calculated volume, the calculation gives 29.31 Å³ per atom. The value obtained for the total energy is -2.407 eV per atom. The uncorrected formation energy is -0.51 eV/atom.

---

# 8
Entry from Alexandria via LeMat-Bulk: a relaxed structure of K2ZnS2 (GGA-PBE).

It has space group P4/mbm (No. 127), with a = 7.2349 Å, b = 7.2349 Å, c = 4.7765 Å, α = 90.00°, β = 90.00° and γ = 90.00°. The asymmetric unit holds K at (0.1416, 0.3584, 0.0000), Zn at (0.0000, 0.0000, 0.5000) and S at (0.1818, 0.6818, 0.5000).

For the total magnetization, the calculation gives 0.00 μB/f.u. For the calculated volume, the calculation gives 25.00 Å³ per atom. The value obtained for the total energy is -2.973 eV per atom. The uncorrected formation energy is -0.63 eV/atom.

---

# 9
Entry from Alexandria via LeMat-Bulk: a relaxed structure of KZrS2 (GGA-PBE).

It has space group I-42d (No. 122), with a = 6.9114 Å, b = 6.9114 Å, c = 10.8030 Å, α = 90.00°, β = 90.00° and γ = 90.00°. The asymmetric unit holds K at (0.0000, 0.0000, 0.0000), Zr at (0.0000, 0.0000, 0.5000) and S at (0.1671, 0.2500, 0.6250).

For the total magnetization, the calculation gives 1.00 μB/f.u. For the calculated volume, the calculation gives 32.25 Å³ per atom. The value obtained for the total energy is -5.679 eV per atom. The uncorrected formation energy is -1.20 eV/atom.

---

# 10
Entry from Alexandria via LeMat-Bulk: a relaxed structure of K14Zr2S9 (GGA-PBE).

It has space group P-3 (No. 147), with a = 9.1160 Å, b = 9.1160 Å, c = 12.5012 Å, α = 90.00°, β = 90.00° and γ = 120.00°. The asymmetric unit holds K at (0.0000, 0.0000, 0.2461), K at (0.0503, 0.6819, 0.4065), K at (0.0917, 0.3928, 0.0982), Zr at (0.3333, 0.6667, 0.7716), S at (0.0000, 0.0000, 0.5000), S at (0.1029, 0.3938, 0.8362) and S at (0.3333, 0.6667, 0.5751).

For the total magnetization, the calculation gives 1.79 μB/f.u. For the calculated volume, the calculation gives 35.99 Å³ per atom. The value obtained for the total energy is -3.835 eV per atom. The uncorrected formation energy is -1.05 eV/atom.

---

# 11
Entry from Alexandria via LeMat-Bulk: a relaxed structure of KZrS2 (GGA-PBE).

It has space group R3m (No. 160, hexagonal axes), with a = 3.7360 Å, b = 3.7360 Å, c = 22.7843 Å, α = 90.00°, β = 90.00° and γ = 120.00°. The asymmetric unit holds K at (0.0000, 0.0000, 0.0000), Zr at (0.0000, 0.0000, 0.8301), S at (0.0000, 0.0000, 0.2306) and S at (0.0000, 0.0000, 0.4302).

For the total magnetization, the calculation gives 0.00 μB/f.u. For the calculated volume, the calculation gives 22.95 Å³ per atom. The value obtained for the total energy is -5.959 eV per atom. The uncorrected formation energy is -1.48 eV/atom.

---

# 12
Entry from Alexandria via LeMat-Bulk: a relaxed structure of K2Zr2S5 (GGA-PBE).

It has space group Cmce (No. 64), with a = 14.1801 Å, b = 10.7488 Å, c = 7.0302 Å, α = 90.00°, β = 90.00° and γ = 90.00°. The asymmetric unit holds K at (0.2265, 0.0000, 0.0000), Zr at (0.0000, 0.2147, 0.0940), S at (0.0000, 0.0000, 0.0000) and S at (0.1234, 0.2151, 0.3606).

For the total magnetization, the calculation gives 0.00 μB/f.u. For the calculated volume, the calculation gives 29.76 Å³ per atom. The value obtained for the total energy is -5.804 eV per atom. The uncorrected formation energy is -1.37 eV/atom.

---

# 13
Entry from Alexandria via LeMat-Bulk: a relaxed structure of K8ZrS6 (GGA-PBE).

It has space group Pmn2_1 (No. 31), with a = 8.9964 Å, b = 9.1922 Å, c = 12.5619 Å, α = 90.00°, β = 90.00° and γ = 90.00°. The asymmetric unit holds K at (0.0000, 0.1477, 0.0000), K at (0.0000, 0.2077, 0.4646), K at (0.1785, 0.6173, 0.1177), K at (0.1924, 0.5939, 0.8039), K at (0.2348, 0.9631, 0.7653), Zr at (0.0000, 0.7166, 0.4705), S at (0.0000, 0.2844, 0.2271), S at (0.0000, 0.5006, 0.5875), S at (0.0000, 0.7974, 0.9471), S at (0.0000, 0.9258, 0.5859) and S at (0.2211, 0.7243, 0.3593).

For the total magnetization, the calculation gives 0.23 μB/f.u. For the calculated volume, the calculation gives 34.63 Å³ per atom. The value obtained for the total energy is -3.971 eV per atom. The uncorrected formation energy is -1.17 eV/atom.

---

# 14
Entry from Alexandria via LeMat-Bulk: a relaxed structure of K2ZrS (GGA-PBE).

It has space group I-42d (No. 122), with a = 11.9142 Å, b = 11.9142 Å, c = 4.9725 Å, α = 90.00°, β = 90.00° and γ = 90.00°. The asymmetric unit holds K at (0.0991, 0.2500, 0.1250), Zr at (0.0000, 0.0000, 0.5000) and S at (0.0000, 0.0000, 0.0000).

For the total magnetization, the calculation gives 2.14 μB/f.u. For the calculated volume, the calculation gives 44.11 Å³ per atom. The value obtained for the total energy is -3.822 eV per atom. The uncorrected formation energy is -0.10 eV/atom.

---

# 15
Entry from Alexandria via LeMat-Bulk: a relaxed structure of KZrS2 (GGA-PBE).

It has space group Fm-3m (No. 225), with a = 6.8332 Å, b = 6.8332 Å, c = 6.8332 Å, α = 90.00°, β = 90.00° and γ = 90.00°. The asymmetric unit holds K at (0.0000, 0.0000, 0.0000), Zr at (0.0000, 0.0000, 0.5000) and S at (0.2500, 0.2500, 0.2500).

For the total magnetization, the calculation gives 1.00 μB/f.u. For the calculated volume, the calculation gives 19.94 Å³ per atom. The value obtained for the total energy is -5.272 eV per atom. The uncorrected formation energy is -0.80 eV/atom.

---

# 16
Entry from Alexandria via LeMat-Bulk: a relaxed structure of KZr2S (GGA-PBE).

It has space group I-42d (No. 122), with a = 5.2483 Å, b = 5.2483 Å, c = 18.5288 Å, α = 90.00°, β = 90.00° and γ = 90.00°. The asymmetric unit holds K at (0.0000, 0.0000, 0.0000), Zr at (0.0125, 0.2500, 0.6250) and S at (0.0000, 0.0000, 0.5000).

For the total magnetization, the calculation gives 0.00 μB/f.u. For the calculated volume, the calculation gives 31.90 Å³ per atom. The value obtained for the total energy is -5.373 eV per atom. The uncorrected formation energy is 0.21 eV/atom.

---

# 17
Entry from Alexandria via LeMat-Bulk: a relaxed structure of KZr3S (GGA-PBE).

It has space group Pm-3m (No. 221), with a = 4.9437 Å, b = 4.9437 Å, c = 4.9437 Å, α = 90.00°, β = 90.00° and γ = 90.00°. The asymmetric unit holds K at (0.0000, 0.0000, 0.0000), Zr at (0.0000, 0.0000, 0.5000) and S at (0.5000, 0.5000, 0.5000).

The calculation puts the energy above the lowest structure with this stoichiometry at 2.004 eV per atom. For the total magnetization, the calculation gives 1.57 μB/f.u. For the calculated volume, the calculation gives 24.16 Å³ per atom. The value obtained for the total energy is -4.126 eV per atom. The uncorrected formation energy is 2.05 eV/atom.

---

# 18
Entry from Alexandria via LeMat-Bulk: a relaxed structure of K3ZrS4 (GGA-PBE).

It has space group Cmmm (No. 65), with a = 9.1524 Å, b = 12.2982 Å, c = 3.9443 Å, α = 90.00°, β = 90.00° and γ = 90.00°. The asymmetric unit holds K at (0.0000, 0.0000, 0.0000), K at (0.2500, 0.2500, 0.5000), Zr at (0.0000, 0.5000, 0.0000), S at (0.0000, 0.2932, 0.0000) and S at (0.1948, 0.5000, 0.5000).

For the total magnetization, the calculation gives 0.84 μB/f.u. For the calculated volume, the calculation gives 27.75 Å³ per atom. The value obtained for the total energy is -4.726 eV per atom. The uncorrected formation energy is -1.18 eV/atom.

---

# 19
Entry from Alexandria via LeMat-Bulk: a relaxed structure of KZrS4 (GGA-PBE).

It has space group C2/c (No. 15), with a = 10.4532 Å, b = 11.6882 Å, c = 6.6656 Å, α = 90.00°, β = 124.92° and γ = 90.00°. The asymmetric unit holds K at (0.0000, 0.1402, 0.2500), Zr at (0.0000, 0.4982, 0.2500), S at (0.1479, 0.3579, 0.6419) and S at (0.2365, 0.4720, 0.2087).

For the total magnetization, the calculation gives 0.00 μB/f.u. For the calculated volume, the calculation gives 27.82 Å³ per atom. The value obtained for the total energy is -5.330 eV per atom. The uncorrected formation energy is -0.97 eV/atom.

---

# 20
Entry from Alexandria via LeMat-Bulk: a relaxed structure of K5Zr2S6 (GGA-PBE).

It has space group C2/c (No. 15), with a = 13.0928 Å, b = 8.1970 Å, c = 16.8852 Å, α = 90.00°, β = 102.07° and γ = 90.00°. The asymmetric unit holds K at (0.0000, 0.1558, 0.2500), K at (0.0464, 0.2390, 0.0012), K at (0.1568, 0.3750, 0.7273), Zr at (0.2261, 0.3810, 0.4272), S at (0.0532, 0.4796, 0.3724), S at (0.1426, 0.0218, 0.6427) and S at (0.2188, 0.0751, 0.4234).

For the total magnetization, the calculation gives 1.00 μB/f.u. For the calculated volume, the calculation gives 34.08 Å³ per atom. The value obtained for the total energy is -5.022 eV per atom. The uncorrected formation energy is -1.38 eV/atom.